The following is a PBE-GGA calculation of YInCu2 after structural relaxation, from the Alexandria database.

Lattice parameters (Å, degrees): 6.723 6.723 6.723 90.00 90.00 90.00
Positions (direct):
Y  0.000  0.000  0.000
Y  0.000  0.500  0.500
Y  0.500  0.000  0.500
Y  0.500  0.500  0.000
In  0.250  0.250  0.750
In  0.250  0.750  0.250
In  0.750  0.250  0.250
In  0.750  0.750  0.750
Cu  0.000  0.000  0.500
Cu  0.000  0.500  0.000
Cu  0.250  0.250  0.250
Cu  0.250  0.750  0.750
Cu  0.500  0.000  0.000
Cu  0.500  0.500  0.500
Cu  0.750  0.250  0.750
Cu  0.750  0.750  0.250

Calculated values
DOS(E_F)   0.612 states/eV per atom
Total magnetic moment   0.0 μB/cell
Total DFT energy (no corrections)   -71.22 eV for the cell shown